[1]
Computed, not measured: an optimized crystal structure of PmPu2Rh2 at the PBE-GGA level of DFT.

abc: 4.6695 4.6695 17.8099
angles: 90.00 90.00 120.00
Space group R-3m (No. 166, hexagonal axes)
One atom of each set of equivalent atoms:
Pm: 0.0000 0.0000 0.0000 x3
Pu: 0.0000 0.0000 0.2087 x6
Rh: 0.0000 0.0000 0.4191 x6

Results
The formation energy comes out at -371 meV/atom. Its crystal system is trigonal. As for the density of states at the Fermi level: 40.317 states/eV per cell.


[2]
Computed, not measured: an optimized crystal structure of PmPuRh at the PBE-GGA level of DFT.

abc: 9.644 12.569 7.251
angles: 90.00 90.00 90.00
Space group Ima2 (No. 46)
One atom of each set of equivalent atoms:
Pm: 0.250 0.000 0.000 x4
Pm: 0.250 0.207 0.623 x4
Pm: 0.250 0.708 0.123 x4
Pu: 0.000 0.000 0.666 x4
Pu: 0.000 0.125 0.290 x8
Rh: 0.000 0.167 0.916 x8
Rh: 0.250 0.501 0.915 x4

Results
The formation energy comes out at -438 meV/atom. Its crystal system is orthorhombic. The energy relative to the lowest polymorph listed for this composition is 0 meV/atom. As for the density of states at the Fermi level: 75.380 states/eV per cell.


[3]
Computed, not measured: an optimized crystal structure of PmPuRh at the PBE-GGA level of DFT.

abc: 4.7178 4.7178 3.6966
angles: 90.00 90.00 120.00
Space group P3m1 (No. 156)
One atom of each set of equivalent atoms:
Pm: 0.0000 0.0000 0.0000 x1
Pu: 0.3333 0.6667 0.4311 x1
Rh: 0.6667 0.3333 0.6253 x1

Results
The formation energy comes out at -190 meV/atom. Its crystal system is trigonal. The energy relative to the lowest polymorph listed for this composition is 249 meV/atom. As for the density of states at the Fermi level: 9.000 states/eV per cell.


[4]
Computed, not measured: an optimized crystal structure of Pm3PuRh at the PBE-GGA level of DFT.

abc: 5.535 5.535 5.535
angles: 90.00 90.00 90.00
Space group Pm-3m (No. 221)
One atom of each set of equivalent atoms:
Pm: 0.000 0.000 0.500 x3
Pu: 0.500 0.500 0.500 x1
Rh: 0.000 0.000 0.000 x1

Results
The formation energy comes out at -28 meV/atom. Its crystal system is cubic. As for the density of states at the Fermi level: 17.167 states/eV per cell.


[5]
Computed, not measured: an optimized crystal structure of Pm2Pu2Rh3 at the PBE-GGA level of DFT.

abc: 13.364 3.843 7.335
angles: 90.00 114.47 90.00
Space group C2/m (No. 12)
One atom of each set of equivalent atoms:
Pm: 0.001 0.000 0.221 x4
Pu: 0.223 0.500 0.698 x4
Rh: 0.000 0.500 0.500 x2
Rh: 0.169 0.500 0.038 x4

Results
The formation energy comes out at -350 meV/atom. Its crystal system is monoclinic. The energy relative to the lowest polymorph listed for this composition is 185 meV/atom. As for the density of states at the Fermi level: 29.703 states/eV per cell.


[6]
Computed, not measured: an optimized crystal structure of Pm2Pu2Rh3 at the PBE-GGA level of DFT.

abc: 11.172 4.180 8.777
angles: 90.00 127.12 90.00
Space group C2/m (No. 12)
One atom of each set of equivalent atoms:
Pm: 0.081 0.000 0.377 x4
Pu: 0.193 0.500 0.078 x4
Rh: 0.000 0.000 0.000 x2
Rh: 0.159 0.500 0.663 x4

Results
The formation energy comes out at -535 meV/atom. Its crystal system is monoclinic. The energy relative to the lowest polymorph listed for this composition is 0 meV/atom. As for the density of states at the Fermi level: 30.142 states/eV per cell.


[7]
Computed, not measured: an optimized crystal structure of Pm4PuRh5 at the PBE-GGA level of DFT.

abc: 3.482 3.482 17.702
angles: 90.00 90.00 90.00
Space group P4/mmm (No. 123)
One atom of each set of equivalent atoms:
Pm: 0.000 0.000 0.101 x2
Pm: 0.000 0.000 0.303 x2
Pu: 0.000 0.000 0.500 x1
Rh: 0.500 0.500 0.000 x1
Rh: 0.500 0.500 0.201 x2
Rh: 0.500 0.500 0.407 x2

Results
The formation energy comes out at -612 meV/atom. Its crystal system is tetragonal. As for the density of states at the Fermi level: 18.036 states/eV per cell.


[8]
Computed, not measured: an optimized crystal structure of Pm3PuRh4 at the PBE-GGA level of DFT.

abc: 4.948 4.948 13.976
angles: 90.00 90.00 90.00
Space group I4/mmm (No. 139)
One atom of each set of equivalent atoms:
Pm: 0.000 0.000 0.000 x2
Pm: 0.000 0.000 0.251 x4
Pu: 0.000 0.000 0.500 x2
Rh: 0.000 0.500 0.122 x8

Results
The formation energy comes out at -596 meV/atom. Its crystal system is tetragonal. As for the density of states at the Fermi level: 30.636 states/eV per cell.


[9]
Computed, not measured: an optimized crystal structure of PmPuRuRh at the PBE-GGA level of DFT.

abc: 6.901 6.901 6.901
angles: 90.00 90.00 90.00
Space group F-43m (No. 216)
One atom of each set of equivalent atoms:
Pm: 0.000 0.000 0.000 x4
Pu: 0.000 0.000 0.500 x4
Ru: 0.250 0.250 0.250 x4
Rh: 0.250 0.250 0.750 x4

Results
The formation energy comes out at -314 meV/atom. Its crystal system is cubic. As for the density of states at the Fermi level: 29.574 states/eV per cell.


[10]
Computed, not measured: an optimized crystal structure of PmPuSiRh at the PBE-GGA level of DFT.

abc: 7.051 7.051 7.051
angles: 90.00 90.00 90.00
Space group F-43m (No. 216)
One atom of each set of equivalent atoms:
Pm: 0.000 0.000 0.000 x4
Pu: 0.000 0.000 0.500 x4
Si: 0.250 0.250 0.750 x4
Rh: 0.250 0.250 0.250 x4

Results
Its crystal system is cubic. The value obtained for the uncorrected formation energy is -1.5 eV/f.u. As for the density of states at the Fermi level: 34.024 states/eV per cell.


[11]
Computed, not measured: an optimized crystal structure of Pm2PuSi3Rh4 at the PBE-GGA level of DFT.

abc: 4.180 4.180 10.675
angles: 90.00 90.00 90.00
Space group P-4m2 (No. 115)
One atom of each set of equivalent atoms:
Pm: 0.000 0.500 0.233 x2
Pu: 0.000 0.000 0.500 x1
Si: 0.000 0.500 0.882 x2
Si: 0.500 0.500 0.500 x1
Rh: 0.000 0.000 0.000 x1
Rh: 0.000 0.500 0.657 x2
Rh: 0.500 0.500 0.000 x1

Results
Its crystal system is tetragonal. The value obtained for the uncorrected formation energy is -9.1 eV/f.u. As for the density of states at the Fermi level: 7.827 states/eV per cell.


[12]
Computed, not measured: an optimized crystal structure of PmPuSnRh at the PBE-GGA level of DFT.

abc: 7.330 7.330 7.330
angles: 90.00 90.00 90.00
Space group F-43m (No. 216)
One atom of each set of equivalent atoms:
Pm: 0.000 0.000 0.000 x4
Pu: 0.000 0.000 0.500 x4
Sn: 0.250 0.250 0.750 x4
Rh: 0.250 0.250 0.250 x4

Results
The formation energy comes out at -359 meV/atom. Its crystal system is cubic. As for the density of states at the Fermi level: 38.386 states/eV per cell.


[13]
Computed, not measured: an optimized crystal structure of PmPuTcRh at the PBE-GGA level of DFT.

abc: 6.896 6.896 6.896
angles: 90.00 90.00 90.00
Space group F-43m (No. 216)
One atom of each set of equivalent atoms:
Pm: 0.000 0.000 0.000 x4
Pu: 0.000 0.000 0.500 x4
Tc: 0.250 0.250 0.250 x4
Rh: 0.250 0.250 0.750 x4

Results
The formation energy comes out at -147 meV/atom. Its crystal system is cubic. As for the density of states at the Fermi level: 24.051 states/eV per cell.


[14]
Computed, not measured: an optimized crystal structure of PmPuTlRh at the PBE-GGA level of DFT.

abc: 7.348 7.348 7.348
angles: 90.00 90.00 90.00
Space group F-43m (No. 216)
One atom of each set of equivalent atoms:
Pm: 0.000 0.000 0.000 x4
Pu: 0.000 0.000 0.500 x4
Tl: 0.250 0.250 0.250 x4
Rh: 0.250 0.250 0.750 x4

Results
The formation energy comes out at -204 meV/atom. Its crystal system is cubic. The energy relative to the lowest polymorph listed for this composition is 160 meV/atom. As for the density of states at the Fermi level: 39.940 states/eV per cell.


[15]
Computed, not measured: an optimized crystal structure of PmPuTlRh at the PBE-GGA level of DFT.

abc: 3.440 3.440 8.410
angles: 90.00 90.00 90.00
Space group P4mm (No. 99)
One atom of each set of equivalent atoms:
Pm: 0.000 0.000 0.000 x1
Pu: 0.000 0.000 0.587 x1
Tl: 0.500 0.500 0.298 x1
Rh: 0.500 0.500 0.789 x1

Results
The formation energy comes out at -363 meV/atom. Its crystal system is tetragonal. The energy relative to the lowest polymorph listed for this composition is 0 meV/atom. As for the density of states at the Fermi level: 10.965 states/eV per cell.


[16]
Computed, not measured: an optimized crystal structure of PmPuRu at the PBE-GGA level of DFT.

abc: 4.4356 4.4356 4.3465
angles: 90.00 90.00 120.00
Space group P-6m2 (No. 187)
One atom of each set of equivalent atoms:
Pm: 0.0000 0.0000 0.0000 x1
Pu: 0.6667 0.3333 0.5000 x1
Ru: 0.3333 0.6667 0.5000 x1

Results
The formation energy comes out at 4 meV/atom. Its crystal system is hexagonal. The energy relative to the lowest polymorph listed for this composition is 167 meV/atom. As for the density of states at the Fermi level: 5.493 states/eV per cell.


[17]
Computed, not measured: an optimized crystal structure of PmPu2Ru9 at the PBE-GGA level of DFT.

abc: 5.2333 5.2333 26.4830
angles: 90.00 90.00 120.00
Space group R-3m (No. 166, hexagonal axes)
One atom of each set of equivalent atoms:
Pm: 0.0000 0.0000 0.0000 x3
Pu: 0.0000 0.0000 0.1409 x6
Ru: 0.0000 0.0000 0.3359 x6
Ru: 0.0000 0.0000 0.5000 x3
Ru: 0.0050 0.5025 0.9173 x18

Results
The formation energy comes out at -17 meV/atom. Its crystal system is trigonal. As for the density of states at the Fermi level: 80.352 states/eV per cell.


[18]
Computed, not measured: an optimized crystal structure of PmPuRu at the PBE-GGA level of DFT.

abc: 11.279 3.983 8.097
angles: 90.00 126.51 90.00
Space group C2/m (No. 12)
One atom of each set of equivalent atoms:
Pm: 0.079 0.000 0.357 x4
Pu: 0.173 0.500 0.087 x4
Ru: 0.146 0.500 0.698 x4

Results
The formation energy comes out at -163 meV/atom. Its crystal system is monoclinic. The energy relative to the lowest polymorph listed for this composition is 0 meV/atom. As for the density of states at the Fermi level: 27.247 states/eV per cell.


[19]
Computed, not measured: an optimized crystal structure of Pm5Pu2Ru4 at the PBE-GGA level of DFT.

abc: 24.043 4.154 6.024
angles: 90.00 100.85 90.00
Space group C2/m (No. 12)
One atom of each set of equivalent atoms:
Pm: 0.000 0.000 0.000 x2
Pm: 0.072 0.500 0.513 x4
Pm: 0.151 0.500 0.053 x4
Pu: 0.206 0.000 0.633 x4
Ru: 0.113 0.000 0.299 x4
Ru: 0.236 0.000 0.175 x4

Results
The formation energy comes out at -38 meV/atom. Its crystal system is monoclinic. As for the density of states at the Fermi level: 37.762 states/eV per cell.


[20]
Computed, not measured: an optimized crystal structure of PmPuRu at the PBE-GGA level of DFT.

abc: 4.790 4.790 6.797
angles: 90.00 90.00 90.00
Space group P4/nmm (No. 129, origin choice 2)
One atom of each set of equivalent atoms:
Pm: 0.250 0.750 0.000 x2
Pu: 0.250 0.750 0.500 x2
Ru: 0.250 0.250 0.277 x2

Results
The formation energy comes out at -20 meV/atom. Its crystal system is tetragonal. The energy relative to the lowest polymorph listed for this composition is 143 meV/atom. As for the density of states at the Fermi level: 13.569 states/eV per cell.


no.,E (eV per cell)
1,-149.92
2,-332.98
3,-27.00
4,-36.08
5,-125.34
6,-127.93
7,-76.21
8,-125.51
9,-147.86
10,-133.45
11,-78.57
12,-127.50
13,-149.54
14,-118.46
15,-30.25
16,-28.35
17,-351.29
18,-115.39
19,-179.88
20,-56.84